# Ce2YLu

A relaxed Ce2YLu crystal (PBE, Alexandria via LeMat-Bulk).

CIF file:
```
data_Ce2YLu
_chemical_formula_sum 'Ce6 Y3 Lu3'
_symmetry_space_group_name_H-M 'R -3 m'
_symmetry_Int_Tables_number 166
_symmetry_space_group_name_Hall '-R 3 2"'
_cell_length_a 3.3289
_cell_length_b 3.3289
_cell_length_c 37.0298
_cell_angle_alpha 90.00
_cell_angle_beta 90.00
_cell_angle_gamma 120.00
loop_
_atom_site_label
_atom_site_type_symbol
_atom_site_fract_x
_atom_site_fract_y
_atom_site_fract_z
Ce1 Ce 0.0000 0.0000 0.0845
Y1 Y 0.0000 0.0000 0.5000
Lu1 Lu 0.0000 0.0000 0.0000
```

The energy relative to the elements comes out at 237 meV per atom. The value obtained for the energy above the lowest structure with this stoichiometry is 0.127 eV/atom.


# FeOsRu

A relaxed FeOsRu crystal (PBE, Alexandria via LeMat-Bulk).

CIF file:
```
data_FeOsRu
_chemical_formula_sum 'Fe4 Os4 Ru4'
_symmetry_space_group_name_H-M 'F m m 2'
_symmetry_Int_Tables_number 42
_symmetry_space_group_name_Hall 'F 2 -2'
_cell_length_a 2.805
_cell_length_b 4.488
_cell_length_c 13.197
_cell_angle_alpha 90.00
_cell_angle_beta 90.00
_cell_angle_gamma 90.00
loop_
_atom_site_label
_atom_site_type_symbol
_atom_site_fract_x
_atom_site_fract_y
_atom_site_fract_z
Fe1 Fe 0.000 0.000 0.000
Os1 Os 0.000 0.000 0.337
Ru1 Ru 0.000 0.000 0.662
```

The energy relative to the elements comes out at 419 meV per atom. The value obtained for the energy above the lowest structure with this stoichiometry is 0.307 eV/atom.


# BaReN3

A relaxed BaReN3 crystal (PBE, Alexandria via LeMat-Bulk).

CIF file:
```
data_BaReN3
_chemical_formula_sum 'Ba4 Re4 N12'
_symmetry_space_group_name_H-M 'I -4 m 2'
_symmetry_Int_Tables_number 119
_symmetry_space_group_name_Hall 'I -4 -2'
_cell_length_a 4.044
_cell_length_b 4.044
_cell_length_c 21.193
_cell_angle_alpha 90.00
_cell_angle_beta 90.00
_cell_angle_gamma 90.00
loop_
_atom_site_label
_atom_site_type_symbol
_atom_site_fract_x
_atom_site_fract_y
_atom_site_fract_z
Ba1 Ba 0.000 0.000 0.095
Re1 Re 0.000 0.000 0.500
Re2 Re 0.000 0.500 0.250
N1 N 0.000 0.156 0.311
N2 N 0.000 0.500 0.000
```

The uncorrected formation energy comes out at -160 meV/atom.


no.,VASP energy (eV per formula unit)
1,-21.91
2,-27.71
3,-40.15